! Sr2Cu3Sb4Pd | Alexandria via LeMat-Bulk | PBE | optimized geometry; values from VASP
! **Raw total energy**: -4.24 eV per atom
! **Total magnetic moment**: 0.0 μB/f.u.
! **Space-group type**: P-4m2
! **Uncorrected formation energy**: -0.5105 eV per atom
! **Density of states at the Fermi level**: 4.628 states/eV/cell
&SYSTEM
  ibrav = 0, nat = 10, ntyp = 4
/
ATOMIC_SPECIES
Sr 87.62 Sr.upf
Pd 106.42 Pd.upf
Sb 121.76 Sb.upf
Cu 63.55 Cu.upf
CELL_PARAMETERS angstrom
-3.202 2.649 -2.067
-2.542 -0.043 3.883
5.095 8.839 3.434
ATOMIC_POSITIONS crystal
Sr 0.500 0.000 0.261
Sr 0.000 0.500 0.739
Pd 0.500 0.500 0.500
Sb 0.500 0.000 0.629
Cu 0.000 0.000 0.500
Sb 0.000 0.000 0.000
Cu 0.500 0.000 0.869
Cu 0.000 0.500 0.131
Sb 0.500 0.500 0.000
Sb 0.000 0.500 0.371